Run w
The following is a PBE-GGA calculation of crystalline Sc2ZnHg at its relaxed geometry, from Alexandria via LeMat-Bulk.

Calculated values
Symmetry: Fm-3m
Calculated density: 7.2 Mg/m³
Magnetic moment: 0.00 μB per formula unit
DOS at the Fermi energy: 3.83 states/eV/cell

Lattice parameters (Å, degrees): 4.872 4.872 4.872 60.00 60.00 60.00
Fractional positions:
Sc 0.250 0.250 0.250
Sc 0.750 0.750 0.750
Zn 0.000 0.000 0.000
Hg 0.500 0.500 0.500

Run x
The following is a PBE-GGA calculation of crystalline Sc2ZnHg at its relaxed geometry, from Alexandria via LeMat-Bulk.

Calculated values
Symmetry: I-42d
Calculated density: 6.5 Mg/m³
Magnetic moment: 0.00 μB per formula unit
DOS at the Fermi energy: 10.78 states/eV/cell

Lattice parameters (Å, degrees): 6.217 6.217 6.217 105.66 105.66 117.39
Fractional positions:
Sc 0.113 0.125 0.488
Sc 0.375 0.887 0.012
Sc 0.637 0.625 0.512
Sc 0.875 0.363 0.988
Zn 0.000 0.000 0.000
Zn 0.750 0.250 0.500
Hg 0.250 0.750 0.500
Hg 0.500 0.500 0.000

Run y
The following is a PBE-GGA calculation of crystalline Sc2ZnHg at its relaxed geometry, from Alexandria via LeMat-Bulk.

Calculated values
Symmetry: Imm2
Calculated density: 7.1 Mg/m³
Magnetic moment: 0.65 μB per formula unit
DOS at the Fermi energy: 4.53 states/eV/cell

Lattice parameters (Å, degrees): 5.866 5.866 5.866 146.60 131.27 60.36
Fractional positions:
Sc 0.000 0.000 0.000
Sc 0.726 0.226 0.500
Zn 0.482 0.482 0.000
Hg 0.264 0.764 0.500

Run z
The following is a PBE-GGA calculation of crystalline Sc2ZnHg at its relaxed geometry, from Alexandria via LeMat-Bulk.

Calculated values
Symmetry: F-43m
Calculated density: 7.3 Mg/m³
Magnetic moment: 1.78 μB per formula unit
DOS at the Fermi energy: 6.09 states/eV/cell

Lattice parameters (Å, degrees): 4.856 4.856 4.856 60.00 60.00 60.00
Fractional positions:
Sc 0.000 0.000 0.000
Sc 0.250 0.250 0.250
Zn 0.750 0.750 0.750
Hg 0.500 0.500 0.500

Top of the stability list: run w, leading by 11.6 kJ/mol of atoms.

Run w
The following is a PBE-GGA calculation of crystalline Sc2ZnHg at its relaxed geometry, from Alexandria via LeMat-Bulk.

Calculated values
Symmetry: P4/mmm
Calculated density: 7.2 Mg/m³
Magnetic moment: 0.00 μB per formula unit
DOS at the Fermi energy: 3.68 states/eV/cell

Lattice parameters (Å, degrees): 4.816 4.816 3.524 90.00 90.00 90.00
Fractional positions:
Sc 0.000 0.500 0.000
Sc 0.500 0.000 0.000
Zn 0.000 0.000 0.500
Hg 0.500 0.500 0.500

Run x
The following is a PBE-GGA calculation of crystalline Sc2ZnHg at its relaxed geometry, from Alexandria via LeMat-Bulk.

Calculated values
Symmetry: I-4m2
Calculated density: 7.2 Mg/m³
Magnetic moment: 0.00 μB per formula unit
DOS at the Fermi energy: 4.85 states/eV/cell

Lattice parameters (Å, degrees): 5.557 5.557 5.557 135.81 135.81 64.27
Fractional positions:
Sc 0.000 0.000 0.000
Sc 0.750 0.250 0.500
Zn 0.250 0.750 0.500
Hg 0.500 0.500 0.000

Top of the stability list: run w, leading by 17.1 kJ/mol of atoms.

Run w
The following is a PBE-GGA calculation of crystalline Sc2Zn2Hg at its relaxed geometry, from Alexandria via LeMat-Bulk.

Calculated values
Symmetry: P4/mbm
Calculated density: 7.2 Mg/m³
Magnetic moment: 0.00 μB per formula unit
DOS at the Fermi energy: 7.92 states/eV/cell

Lattice parameters (Å, degrees): 7.090 7.090 3.860 90.00 90.00 90.00
Fractional positions:
Sc 0.168 0.332 0.000
Sc 0.332 0.832 0.000
Sc 0.668 0.168 0.000
Sc 0.832 0.668 0.000
Zn 0.126 0.626 0.500
Zn 0.374 0.126 0.500
Zn 0.626 0.874 0.500
Zn 0.874 0.374 0.500
Hg 0.000 0.000 0.500
Hg 0.500 0.500 0.500

Run x
The following is a PBE-GGA calculation of crystalline Sc2Zn2Hg at its relaxed geometry, from Alexandria via LeMat-Bulk.

Calculated values
Symmetry: P4/mbm
Calculated density: 6.6 Mg/m³
Magnetic moment: 0.07 μB per formula unit
DOS at the Fermi energy: 12.91 states/eV/cell

Lattice parameters (Å, degrees): 7.820 7.820 3.468 90.00 90.00 90.00
Fractional positions:
Sc 0.151 0.349 0.000
Sc 0.349 0.849 0.000
Sc 0.651 0.151 0.000
Sc 0.849 0.651 0.000
Zn 0.144 0.644 0.500
Zn 0.356 0.144 0.500
Zn 0.644 0.856 0.500
Zn 0.856 0.356 0.500
Hg 0.000 0.000 0.000
Hg 0.500 0.500 0.000

Run y
The following is a PBE-GGA calculation of crystalline Sc2Zn2Hg at its relaxed geometry, from Alexandria via LeMat-Bulk.

Calculated values
Symmetry: I4/mmm
Calculated density: 6.5 Mg/m³
Magnetic moment: 0.92 μB per formula unit
DOS at the Fermi energy: 4.20 states/eV/cell

Lattice parameters (Å, degrees): 6.571 6.571 6.571 141.76 141.76 55.19
Fractional positions:
Sc 0.250 0.750 0.500
Sc 0.750 0.250 0.500
Zn 0.100 0.100 0.000
Zn 0.900 0.900 0.000
Hg 0.500 0.500 0.000

Run z
The following is a PBE-GGA calculation of crystalline Sc2Zn2Hg at its relaxed geometry, from Alexandria via LeMat-Bulk.

Calculated values
Symmetry: I4/mmm
Calculated density: 6.6 Mg/m³
Magnetic moment: 0.00 μB per formula unit
DOS at the Fermi energy: 5.52 states/eV/cell

Lattice parameters (Å, degrees): 8.642 8.642 8.642 156.12 156.12 34.03
Fractional positions:
Sc 0.104 0.104 0.000
Sc 0.896 0.896 0.000
Zn 0.250 0.750 0.500
Zn 0.750 0.250 0.500
Hg 0.500 0.500 0.000

Top of the stability list: run w, leading by 23.6 kJ/mol of atoms.